PBEsol Fe2Hg, relaxed; ΔH_f (0 K) = 0.4134 eV per atom
1.0
4.2483 0.0000 0.0000
-2.1242 3.6791 0.0000
0.0000 0.0000 2.6989
Fe Hg
2 1
Direct
0.3333 0.6667 0.0000 Fe
0.6667 0.3333 0.0000 Fe
0.0000 0.0000 0.5000 Hg